{
  "formula": "Li3Al3Ga2",
  "functional": "GGA-PBE",
  "state": "relaxed",
  "lattice_angstrom": [[3.5424, 2.0452, 2.9546], [-3.5424, 2.0452, 2.9546], [0.0000, -4.0904, 2.9546]],
  "species": ["Li", "Li", "Li", "Al", "Al", "Al", "Ga", "Ga"],
  "fractional_positions": [[0.0000, 0.2522, 0.7478], [0.2522, 0.7478, 0.0000], [0.7478, 0.0000, 0.2522], [0.2546, 0.7454, 0.5000], [0.5000, 0.2546, 0.7454], [0.7454, 0.5000, 0.2546], [0.2466, 0.2466, 0.2466], [0.7534, 0.7534, 0.7534]],
  "space_group": "No. 155",
  "vol_a3_per_cell": 128.4,
  "total_magnetization_mub_per_fu": 0.000,
  "ef_ev_per_atom": -0.15
}

{
  "formula": "Li2Al3Ga3",
  "functional": "GGA-PBE",
  "state": "relaxed",
  "lattice_angstrom": [[3.9154, 0.0000, 0.0000], [0.0000, 4.0844, 0.0000], [0.0000, 0.0000, 8.1642]],
  "species": ["Li", "Li", "Al", "Al", "Al", "Ga", "Ga", "Ga"],
  "fractional_positions": [[0.0000, 0.0000, 0.2464], [0.0000, 0.0000, 0.7536], [0.0000, 0.5000, 0.0000], [0.0000, 0.5000, 0.5000], [0.5000, 0.0000, 0.5000], [0.5000, 0.0000, 0.0000], [0.5000, 0.5000, 0.2541], [0.5000, 0.5000, 0.7459]],
  "space_group": "No. 47",
  "vol_a3_per_cell": 130.6,
  "total_magnetization_mub_per_fu": 0.000,
  "ef_ev_per_atom": -0.12
}

{
  "formula": "Li8Al3Ga2",
  "functional": "GGA-PBE",
  "state": "relaxed",
  "lattice_angstrom": [[5.0159, 0.0000, 0.0000], [0.0000, 4.6186, 0.0000], [-0.2350, 0.0000, 9.3415]],
  "species": ["Li", "Li", "Li", "Li", "Li", "Li", "Li", "Li", "Al", "Al", "Al", "Ga", "Ga"],
  "fractional_positions": [[0.0402, 0.0000, 0.1362], [0.2174, 0.5000, 0.5872], [0.2675, 0.5000, 0.2391], [0.3677, 0.0000, 0.7097], [0.6323, 0.0000, 0.2903], [0.7325, 0.5000, 0.7609], [0.7826, 0.5000, 0.4128], [0.9598, 0.0000, 0.8638], [0.2444, 0.5000, 0.9222], [0.5000, 0.0000, 0.0000], [0.7556, 0.5000, 0.0778], [0.1854, 0.0000, 0.4159], [0.8146, 0.0000, 0.5841]],
  "space_group": "No. 10",
  "vol_a3_per_cell": 216.4,
  "total_magnetization_mub_per_fu": 0.000,
  "ef_ev_per_atom": -0.16
}

{
  "formula": "Li2Al3Ga4",
  "functional": "GGA-PBE",
  "state": "relaxed",
  "lattice_angstrom": [[4.0822, 0.0000, 0.0000], [-1.9906, 4.3376, 0.0000], [-0.1231, -2.5787, 8.4666]],
  "species": ["Li", "Li", "Al", "Al", "Al", "Ga", "Ga", "Ga", "Ga"],
  "fractional_positions": [[0.1630, 0.3284, 0.2192], [0.8370, 0.6716, 0.7808], [0.1683, 0.3339, 0.5605], [0.5000, 0.0000, 0.0000], [0.8317, 0.6661, 0.4395], [0.1664, 0.3342, 0.8901], [0.4995, 0.0020, 0.3304], [0.5005, 0.9980, 0.6696], [0.8336, 0.6658, 0.1099]],
  "space_group": "No. 2",
  "vol_a3_per_cell": 149.9,
  "total_magnetization_mub_per_fu": 0.000,
  "ef_ev_per_atom": -0.12
}

{
  "formula": "Li2Al3Ga4",
  "functional": "GGA-PBE",
  "state": "relaxed",
  "lattice_angstrom": [[6.7655, -4.7983, 0.0000], [6.7655, 4.7983, 0.0000], [-1.0439, 0.0000, 4.9299]],
  "species": ["Li", "Li", "Li", "Li", "Al", "Al", "Al", "Al", "Al", "Al", "Ga", "Ga", "Ga", "Ga", "Ga", "Ga", "Ga", "Ga"],
  "fractional_positions": [[0.1408, 0.3337, 0.0931], [0.3337, 0.1408, 0.5931], [0.6663, 0.8592, 0.4069], [0.8592, 0.6663, 0.9069], [0.0015, 0.9985, 0.7500], [0.3471, 0.4693, 0.5321], [0.4693, 0.3471, 0.0321], [0.5307, 0.6529, 0.9679], [0.6529, 0.5307, 0.4679], [0.9985, 0.0015, 0.2500], [0.0190, 0.6707, 0.4423], [0.1893, 0.6724, 0.9903], [0.3276, 0.8107, 0.5097], [0.3293, 0.9810, 0.0577], [0.6707, 0.0190, 0.9423], [0.6724, 0.1893, 0.4903], [0.8107, 0.3276, 0.0097], [0.9810, 0.3293, 0.5577]],
  "space_group": "No. 15",
  "vol_a3_per_cell": 320.1,
  "total_magnetization_mub_per_fu": 0.000,
  "ef_ev_per_atom": -0.06
}

{
  "formula": "Li3Al4Ga",
  "functional": "GGA-PBE",
  "state": "relaxed",
  "lattice_angstrom": [[8.1274, -2.0505, 0.0000], [8.1274, 2.0505, 0.0000], [-0.9609, 0.0000, 3.8943]],
  "species": ["Li", "Li", "Li", "Al", "Al", "Al", "Al", "Ga"],
  "fractional_positions": [[0.0000, 0.0000, 0.0000], [0.1211, 0.1211, 0.6208], [0.8789, 0.8789, 0.3792], [0.2469, 0.2469, 0.2469], [0.3728, 0.3728, 0.8723], [0.6272, 0.6272, 0.1277], [0.7531, 0.7531, 0.7531], [0.5000, 0.5000, 0.5000]],
  "space_group": "No. 12",
  "vol_a3_per_cell": 129.8,
  "total_magnetization_mub_per_fu": 0.000,
  "ef_ev_per_atom": -0.15
}